No. 1
Crystalline WAu3Se at its relaxed geometry. Source: the Alexandria database, functional PBE.

a b c (Å): 4.943 4.943 4.943
angles (deg): 90.00 90.00 90.00
Atoms (fractional coordinates):
1 W 0.000 0.000 0.000
2 Au 0.000 0.500 0.500
3 Au 0.500 0.000 0.500
4 Au 0.500 0.500 0.000
5 Se 0.500 0.500 0.500

Computed properties:
N(E_F): 0.698 states/eV/atom
Size of the total moment: 4.40 Bohr magnetons per cell
Raw formation energy: 1.493 eV per atom
Uncorrected energy: -3.7610 eV/atom
Crystal system: cubic

=====

No. 2
Crystalline WAu2Se at its relaxed geometry. Source: the Alexandria database, functional PBE.

a b c (Å): 7.684 7.684 5.208
angles (deg): 90.00 90.00 90.00
Atoms (fractional coordinates):
1 W 0.000 0.000 0.000
2 W 0.000 0.500 0.250
3 W 0.500 0.000 0.750
4 W 0.500 0.500 0.500
5 Au 0.246 0.250 0.125
6 Au 0.250 0.746 0.375
7 Au 0.250 0.754 0.875
8 Au 0.254 0.250 0.625
9 Au 0.746 0.750 0.625
10 Au 0.750 0.246 0.875
11 Au 0.750 0.254 0.375
12 Au 0.754 0.750 0.125
13 Se 0.000 0.000 0.500
14 Se 0.000 0.500 0.750
15 Se 0.500 0.000 0.250
16 Se 0.500 0.500 0.000

Computed properties:
N(E_F): 0.738 states/eV/atom
Size of the total moment: 3.67 Bohr magnetons per cell
Raw formation energy: 0.653 eV per atom
Uncorrected energy: -5.0946 eV/atom
Crystal system: tetragonal

=====

No. 3
Crystalline WAu2Se at its relaxed geometry. Source: the Alexandria database, functional PBE.

a b c (Å): 3.170 4.787 10.224
angles (deg): 90.00 90.00 90.00
Atoms (fractional coordinates):
1 W 0.000 0.000 0.000
2 W 0.500 0.500 0.000
3 Au 0.000 0.000 0.528
4 Au 0.000 0.500 0.768
5 Au 0.500 0.000 0.768
6 Au 0.500 0.500 0.528
7 Se 0.000 0.500 0.195
8 Se 0.500 0.000 0.195

Computed properties:
N(E_F): 0.628 states/eV/atom
Size of the total moment: 0.00 Bohr magnetons per cell
Raw formation energy: 0.347 eV per atom
Uncorrected energy: -5.4008 eV/atom
Crystal system: orthorhombic

=====

No. 4
Crystalline WAuSe2 at its relaxed geometry. Source: the Alexandria database, functional PBE.

a b c (Å): 3.091 4.950 10.830
angles (deg): 90.00 90.00 90.00
Atoms (fractional coordinates):
1 W 0.000 0.000 0.000
2 W 0.500 0.500 0.000
3 Au 0.000 0.000 0.500
4 Au 0.500 0.500 0.500
5 Se 0.000 0.500 0.193
6 Se 0.000 0.500 0.807
7 Se 0.500 0.000 0.193
8 Se 0.500 0.000 0.807

Computed properties:
N(E_F): 0.748 states/eV/atom
Size of the total moment: 0.00 Bohr magnetons per cell
Raw formation energy: 0.382 eV per atom
Uncorrected energy: -5.4176 eV/atom
Crystal system: orthorhombic

=====

No. 5
Crystalline WAuSe2 at its relaxed geometry. Source: the Alexandria database, functional PBE.

a b c (Å): 3.159 3.159 30.105
angles (deg): 90.00 90.00 120.00
Atoms (fractional coordinates):
1 W 0.000 0.000 0.000
2 W 0.333 0.667 0.667
3 W 0.667 0.333 0.333
4 Au 0.000 0.000 0.500
5 Au 0.333 0.667 0.167
6 Au 0.667 0.333 0.833
7 Se 0.000 0.000 0.274
8 Se 0.000 0.000 0.726
9 Se 0.333 0.667 0.393
10 Se 0.333 0.667 0.941
11 Se 0.667 0.333 0.059
12 Se 0.667 0.333 0.607

Computed properties:
N(E_F): 0.097 states/eV/atom
Size of the total moment: 0.00 Bohr magnetons per cell
Raw formation energy: -0.028 eV per atom
Uncorrected energy: -5.8282 eV/atom
Crystal system: trigonal

=====

No. 6
Crystalline WAu3Se at its relaxed geometry. Source: the Alexandria database, functional PBE.

a b c (Å): 5.059 5.059 5.059
angles (deg): 90.00 90.00 90.00
Atoms (fractional coordinates):
1 W 0.000 0.000 0.000
2 Au 0.000 0.000 0.500
3 Au 0.000 0.500 0.000
4 Au 0.500 0.000 0.000
5 Se 0.500 0.500 0.500

Computed properties:
N(E_F): 1.177 states/eV/atom
Size of the total moment: 0.00 Bohr magnetons per cell
Raw formation energy: 1.399 eV per atom
Uncorrected energy: -3.8548 eV/atom
Crystal system: cubic